Compound: ErGaI
Source: Alexandria
Functional: PBE
Structure: relaxed

```
ErGaI
1.0
7.236 0.000 0.000
0.000 4.178 0.000
-2.425 0.000 12.181
Er Ga I
4 4 4
Direct
0.055 0.000 0.163
0.445 0.500 0.837
0.555 0.500 0.163
0.945 0.000 0.837
0.157 0.500 0.972
0.343 0.000 0.028
0.657 0.000 0.972
0.843 0.500 0.028
0.224 0.000 0.674
0.276 0.500 0.326
0.724 0.500 0.674
0.776 0.000 0.326
```

The value obtained for the volume is 30.686 A^3/atom. The total DFT energy (no corrections) is -48.54 eV for the cell shown. The value obtained for the total magnetization is 0.0 μB per cell. The density of states at the Fermi level is 0.9 states/eV/f.u.